Density functional theory data (GGA-PBE) for a relaxed Pm2InNi9 crystal.

Structure (extended XYZ):
```
12
Lattice="4.9533 0.0000 0.0000 2.4767 4.2897 0.0000 2.4767 1.4299 8.2149" Properties=species:S:1:pos:R:3 pbc="T T T"
Pm 7.4300 4.2897 3.3450
Pm 2.4767 1.4299 4.8698
In 0.0000 0.0000 0.0000
Ni 7.4300 4.2897 8.2016
Ni 2.4766 1.4299 0.0133
Ni 4.9533 2.8598 4.1074
Ni 3.7156 2.1452 1.9880
Ni 6.1910 2.1452 1.9880
Ni 4.9533 4.2890 1.9880
Ni 6.1910 3.5744 6.2269
Ni 4.9533 1.4306 6.2269
Ni 3.7156 3.5744 6.2269
```

Values from the calculation:
Formation energy from the elements (eV per atom): -0.20
Electronic total energy (eV per atom): -5.56
Space group: R-3m, No. 166

---

Density functional theory data (GGA-PBE) for a relaxed Pm3In5Ni2 crystal.

Structure (extended XYZ):
```
20
Lattice="4.3890 0.0000 0.0000 0.0000 10.2671 0.0000 0.0000 0.0000 10.2671" Properties=species:S:1:pos:R:3 pbc="T T T"
Pm 0.0000 3.3664 8.4999
Pm 0.0000 6.9007 1.7672
Pm 0.0000 1.7672 3.3664
Pm 0.0000 8.4999 6.9007
Pm 0.0000 0.0000 0.0000
Pm 0.0000 5.1335 5.1335
In 2.1945 2.2496 0.6868
In 2.1945 8.0175 9.5803
In 2.1945 9.5803 2.2496
In 2.1945 0.6868 8.0175
In 2.1945 2.8839 5.8203
In 2.1945 7.3832 4.4468
In 2.1945 5.8203 7.3832
In 2.1945 4.4468 2.8839
In 2.1945 0.0000 5.1335
In 2.1945 5.1335 0.0000
Ni 0.0000 1.2985 6.4321
Ni 0.0000 8.9686 3.8350
Ni 0.0000 3.8350 1.2985
Ni 0.0000 6.4321 8.9686
```

Values from the calculation:
Formation energy from the elements (eV per atom): -0.44
Electronic total energy (eV per atom): -4.39
Space group: P4/mbm, No. 127

---

Density functional theory data (GGA-PBE) for a relaxed Pm2InNi2 crystal.

Structure (extended XYZ):
```
10
Lattice="-1.5759 1.8689 2.9002 -6.5918 -3.3079 -1.4502 1.8147 -5.6426 4.6222" Properties=species:S:1:pos:R:3 pbc="T T T"
Pm -0.7258 -3.4705 4.3224
Pm -3.7565 -5.9490 4.2728
Pm -5.6272 -3.6111 1.7498
Pm -2.5965 -1.1326 1.7994
In 0.0000 0.0000 0.0000
In -2.3886 -4.4753 1.5860
Ni -0.9196 -6.2444 3.5242
Ni -4.6962 -6.4036 1.5747
Ni -3.8575 -2.7061 -0.3522
Ni -0.0809 -2.5469 1.5973
```

Values from the calculation:
Formation energy from the elements (eV per atom): -0.45
Electronic total energy (eV per atom): -5.21
Space group: P4/mbm, No. 127
Distance to the lowest polymorph of the same formula (meV per atom): 19.4

---

Density functional theory data (GGA-PBE) for a relaxed Pm3In8Ni3 crystal.

Structure (extended XYZ):
```
14
Lattice="4.6648 0.0000 1.2304 1.4817 7.7735 3.8406 0.1737 0.1657 8.7994" Properties=species:S:1:pos:R:3 pbc="T T T"
Pm 2.5084 5.7168 9.4059
Pm 3.8118 2.2223 4.4644
Pm 0.0000 0.0000 0.0000
In 0.9786 1.3640 5.7479
In 5.3416 6.5752 8.1224
In 4.7632 3.5238 10.3154
In 1.5570 4.4154 3.5549
In 3.4086 5.1649 5.9930
In 2.9116 2.7743 7.8773
In 1.7587 0.3600 2.7903
In 4.5615 7.5791 11.0800
Ni 0.8277 3.9696 6.3200
Ni 4.0777 5.1758 3.4561
Ni 2.2424 2.7634 10.4142
```

Values from the calculation:
Formation energy from the elements (eV per atom): -0.34
Electronic total energy (eV per atom): -4.16
Space group: C2/m, No. 12

---

Density functional theory data (GGA-PBE) for a relaxed Pm2InNi16 crystal.

Structure (extended XYZ):
```
19
Lattice="-0.1661 4.2570 4.7217 -5.8636 -1.3525 2.0573 1.7120 -3.9587 4.6735" Properties=species:S:1:pos:R:3 pbc="T T T"
Pm -2.8084 -0.6857 7.4490
Pm -1.4742 -0.3599 3.9101
In -3.9271 -0.9588 10.4164
Ni -5.4638 0.4328 6.7651
Ni -0.7338 1.0815 8.6081
Ni -2.4381 -3.6227 7.5325
Ni -3.7507 2.1194 7.5662
Ni -0.1691 -1.3888 8.5936
Ni -4.7159 -2.8390 6.7459
Ni -4.4178 -1.0389 4.9428
Ni -1.5575 1.7772 6.2804
Ni -0.6147 -2.3473 6.2562
Ni 0.0855 -0.0184 6.4634
Ni -2.7390 -2.7991 5.1426
Ni -3.6700 1.2736 5.1665
Ni -2.8873 -0.6661 1.0296
Ni -0.0888 2.0892 2.3383
Ni 0.8337 -1.9462 2.3146
Ni -0.4818 -0.1176 1.2778
```

Values from the calculation:
Formation energy from the elements (eV per atom): -0.18
Electronic total energy (eV per atom): -5.70
Space group: R3m, No. 160

---

Density functional theory data (GGA-PBE) for a relaxed Pm8In2Ni crystal.

Structure (extended XYZ):
```
11
Lattice="-0.7098 -3.0646 -4.1234 1.2380 -5.5432 3.9068 -9.0470 2.7212 2.7964" Properties=species:S:1:pos:R:3 pbc="T T T"
Pm -7.0240 -2.0281 2.7165
Pm -1.8627 -6.6186 1.9782
Pm -4.9494 -4.7118 1.0923
Pm -9.2158 -1.6021 -0.4845
Pm -3.5694 -1.1748 1.4876
Pm -6.6560 0.7320 0.6017
Pm -1.4947 -3.8585 -0.1365
Pm 0.6970 -4.2845 3.0644
In -5.9800 -2.1711 -0.6186
In -2.5387 -3.7155 3.1985
Ni -0.3549 -1.5323 -2.0617
```

Values from the calculation:
Formation energy from the elements (eV per atom): -0.21
Electronic total energy (eV per atom): -4.69
Space group: C2/m, No. 12

---

Density functional theory data (GGA-PBE) for a relaxed PmIn4Ni4 crystal.

Structure (extended XYZ):
```
18
Lattice="5.9495 0.0000 0.0000 0.0000 5.9495 0.0000 0.0000 0.0000 9.4080" Properties=species:S:1:pos:R:3 pbc="T T T"
Pm 0.0000 0.0000 0.0000
Pm 2.9748 2.9748 4.7040
In 2.9748 4.5490 7.5457
In 2.9748 1.4006 7.5457
In 4.5490 2.9748 1.8624
In 1.4006 2.9748 1.8624
In 1.5742 0.0000 2.8416
In 4.3753 0.0000 2.8416
In 0.0000 1.5742 6.5664
In 0.0000 4.3753 6.5664
Ni 1.2157 2.9748 8.6800
Ni 4.7338 2.9748 8.6800
Ni 2.9748 4.7338 0.7280
Ni 2.9748 1.2157 0.7280
Ni 0.0000 4.1905 3.9760
Ni 0.0000 1.7590 3.9760
Ni 1.7590 0.0000 5.4321
Ni 4.1905 0.0000 5.4321
```

Values from the calculation:
Formation energy from the elements (eV per atom): -0.15
Electronic total energy (eV per atom): -4.46
Space group: P4_2/nmc, No. 137
Distance to the lowest polymorph of the same formula (meV per atom): 0.0

---

Density functional theory data (GGA-PBE) for a relaxed Pm2In5Ni3 crystal.

Structure (extended XYZ):
```
20
Lattice="-2.0691 3.1234 -2.3576 -6.2169 -3.5609 0.7387 -1.4711 5.0998 12.2034" Properties=species:S:1:pos:R:3 pbc="T T T"
Pm -7.2336 3.5429 11.0425
Pm -5.2458 -0.1945 4.3463
Pm -3.9382 5.1851 6.1700
Pm -2.9082 0.8991 -0.4123
In -4.5236 3.9570 9.2126
In -4.5394 2.0881 6.7505
In -8.2864 0.8166 4.1986
In -2.1496 0.8096 2.9593
In -7.0896 0.6948 7.1427
In -3.9725 7.1373 8.7865
In -4.5780 2.8733 3.6688
In -7.5352 3.8941 7.6166
In -4.0596 -1.4869 1.5930
In -7.1195 -0.3749 1.5959
Ni -6.7339 2.6907 5.3189
Ni -4.8570 1.1476 1.6273
Ni -6.4340 -2.9409 1.7506
Ni -2.3773 2.3417 5.1888
Ni -6.4051 5.8380 9.2001
Ni -2.1209 5.1067 8.6269
```

Values from the calculation:
Formation energy from the elements (eV per atom): -0.37
Electronic total energy (eV per atom): -4.42
Space group: Cmc2_1, No. 36